Below is a relaxed Na6MoF12 crystal, with properties calculated at the PBE+U level.

Summary:
Symmetry: R-3
Volume, A^3/atom: 15.45
DFT total energy, eV per atom: -4.4672
Size of the total moment, μB per atom: 0.0234

```
Na6MoF12
1.0
5.087 2.937 3.274
-5.087 2.937 3.274
0.000 -5.874 3.274
Na Mo F
6 1 12
direct
0.163 0.607 0.387
0.387 0.163 0.607
0.393 0.613 0.837
0.607 0.387 0.163
0.613 0.837 0.393
0.837 0.393 0.613
0.000 0.000 0.000
0.038 0.738 0.892
0.108 0.962 0.262
0.166 0.380 0.604
0.262 0.108 0.962
0.380 0.604 0.166
0.396 0.834 0.620
0.604 0.166 0.380
0.620 0.396 0.834
0.738 0.892 0.038
0.834 0.620 0.396
0.892 0.038 0.738
0.962 0.262 0.108
```

***

Below is a relaxed Na2MoF5 crystal, with properties calculated at the PBE+U level.

Summary:
Symmetry: C2/c
Volume, A^3/atom: 15.24
DFT total energy, eV per atom: -5.0923
Size of the total moment, μB per atom: 0.3750

```
Na2MoF5
1.0
5.898 -2.880 0.000
5.898 2.880 0.000
-2.946 0.000 7.179
Na Mo F
4 2 10
direct
0.128 0.149 0.245
0.149 0.128 0.745
0.851 0.872 0.255
0.872 0.851 0.755
0.500 0.500 0.000
0.500 0.500 0.500
0.111 0.745 0.543
0.187 0.466 0.859
0.255 0.889 0.957
0.338 0.662 0.250
0.466 0.187 0.359
0.534 0.813 0.641
0.662 0.338 0.750
0.745 0.111 0.043
0.813 0.534 0.141
0.889 0.255 0.457
```

***

Below is a relaxed NaMo3F crystal, with properties calculated at the PBE+U level.

Summary:
Offset from the most stable computed form, meV/atom: 0
Symmetry: Pm-3m
Volume, A^3/atom: 16.42
Size of the total moment, μB per atom: 0.0167

```
NaMo3F
1.0
4.346 0.000 0.000
0.000 4.346 0.000
0.000 0.000 4.346
Na Mo F
1 3 1
direct
0.000 0.000 0.000
0.000 0.500 0.500
0.500 0.000 0.500
0.500 0.500 0.000
0.500 0.500 0.500
```

***

Below is a relaxed NaNiMoF6 crystal, with properties calculated at the PBE+U level.

Summary:
Symmetry: P4_2nm
Volume, A^3/atom: 13.44
DFT total energy, eV per atom: -4.9741
Size of the total moment, μB per atom: 0.5556

```
NaNiMoF6
1.0
4.951 0.000 0.000
0.000 4.951 0.000
0.000 0.000 9.868
Na Ni Mo F
2 2 2 12
direct
0.000 0.000 0.000
0.500 0.500 0.500
0.000 0.000 0.331
0.500 0.500 0.831
0.000 0.000 0.667
0.500 0.500 0.167
0.181 0.181 0.495
0.199 0.199 0.180
0.208 0.208 0.822
0.292 0.708 0.322
0.301 0.699 0.680
0.319 0.681 0.995
0.681 0.319 0.995
0.699 0.301 0.680
0.708 0.292 0.322
0.792 0.792 0.822
0.801 0.801 0.180
0.819 0.819 0.495
```

***

Below is a relaxed Na3MoO4F crystal, with properties calculated at the PBE+U level.

Summary:
Symmetry: Pnma
Volume, A^3/atom: 15.70
DFT total energy, eV per atom: -5.6741
Size of the total moment, μB per atom: 0.0001

```
Na3MoO4F
1.0
5.705 0.000 0.000
0.000 7.609 0.000
0.000 0.000 13.017
Na Mo O F
12 4 16 4
direct
0.223 0.040 0.180
0.223 0.460 0.180
0.228 0.750 0.894
0.272 0.250 0.394
0.277 0.540 0.680
0.277 0.960 0.680
0.723 0.040 0.320
0.723 0.460 0.320
0.728 0.750 0.606
0.772 0.250 0.106
0.777 0.540 0.820
0.777 0.960 0.820
0.214 0.750 0.416
0.286 0.250 0.916
0.714 0.750 0.084
0.786 0.250 0.584
0.103 0.250 0.579
0.171 0.250 0.044
0.185 0.057 0.849
0.185 0.443 0.849
0.315 0.557 0.349
0.315 0.943 0.349
0.329 0.750 0.544
0.397 0.750 0.079
0.603 0.250 0.921
0.671 0.250 0.456
0.685 0.057 0.651
0.685 0.443 0.651
0.815 0.557 0.151
0.815 0.943 0.151
0.829 0.750 0.956
0.897 0.750 0.421
0.005 0.750 0.730
0.495 0.250 0.230
0.505 0.750 0.770
0.995 0.250 0.270
```

***

Below is a relaxed NaMoO3F crystal, with properties calculated at the PBE+U level.

Summary:
Symmetry: P2_1/m
Volume, A^3/atom: 14.32
DFT total energy, eV per atom: -6.1531
Size of the total moment, μB per atom: 0.0000

```
NaMoO3F
1.0
6.637 0.000 0.000
0.000 3.755 0.000
-2.604 0.000 6.896
Na Mo O F
2 2 6 2
direct
0.103 0.250 0.205
0.897 0.750 0.795
0.392 0.250 0.784
0.608 0.750 0.216
0.210 0.250 0.549
0.360 0.750 0.252
0.407 0.750 0.869
0.593 0.250 0.131
0.640 0.250 0.748
0.790 0.750 0.451
0.132 0.250 0.894
0.868 0.750 0.106
```

***

Below is a relaxed Na5MoO4F2 crystal, with properties calculated at the PBE+U level.

Summary:
Symmetry: Amm2
Volume, A^3/atom: 15.14
DFT total energy, eV per atom: -5.1117
Size of the total moment, μB per atom: 0.0833

```
Na5MoO4F2
1.0
6.759 0.000 0.000
0.000 4.819 2.790
0.000 -4.819 2.790
Na Mo O F
5 1 4 2
direct
0.000 0.000 0.000
0.249 0.314 0.685
0.249 0.685 0.314
0.751 0.314 0.685
0.751 0.685 0.314
0.500 0.023 0.023
0.275 0.223 0.223
0.500 0.005 0.679
0.500 0.679 0.005
0.725 0.223 0.223
0.000 0.583 0.964
0.000 0.964 0.583
```

***

Below is a relaxed Na3MoO3F3 crystal, with properties calculated at the PBE+U level.

Summary:
Symmetry: R3
Volume, A^3/atom: 13.95
DFT total energy, eV per atom: -5.4417
Size of the total moment, μB per atom: 0.0120

```
Na3MoO3F3
1.0
2.842 1.641 4.985
-2.842 1.641 4.985
0.000 -3.282 4.985
Na Mo O F
3 1 3 3
direct
0.000 0.000 0.000
0.218 0.218 0.218
0.717 0.717 0.717
0.492 0.492 0.492
0.181 0.399 0.744
0.399 0.744 0.181
0.744 0.181 0.399
0.315 0.849 0.619
0.619 0.315 0.849
0.849 0.619 0.315
```

***

Below is a relaxed Na2MoPbF6 crystal, with properties calculated at the PBE+U level.

Summary:
Symmetry: P2_1/c
Volume, A^3/atom: 16.61
DFT total energy, eV per atom: -4.8472
Size of the total moment, μB per atom: 0.4000

```
Na2MoPbF6
1.0
6.015 0.000 0.000
0.000 6.061 0.000
-5.550 0.000 9.110
Na Mo Pb F
4 2 2 12
direct
0.225 0.034 0.226
0.225 0.466 0.726
0.775 0.534 0.274
0.775 0.966 0.774
0.000 0.000 0.500
0.000 0.500 0.000
0.500 0.000 0.000
0.500 0.500 0.500
0.099 0.186 0.948
0.099 0.314 0.448
0.179 0.675 0.895
0.179 0.825 0.395
0.435 0.139 0.770
0.435 0.361 0.270
0.565 0.639 0.730
0.565 0.861 0.230
0.821 0.175 0.605
0.821 0.325 0.105
0.901 0.686 0.552
0.901 0.814 0.052
```

***

Below is a relaxed Na2MoPbF crystal, with properties calculated at the PBE+U level.

Summary:
Symmetry: P4/mmm
Volume, A^3/atom: 57.39
DFT total energy, eV per atom: -2.9018
Size of the total moment, μB per atom: 0.9111

```
Na2MoPbF
1.0
8.168 0.000 0.000
0.000 8.168 0.000
0.000 0.000 4.301
Na Mo Pb F
2 1 1 1
direct
0.000 0.500 0.000
0.500 0.000 0.000
0.000 0.000 0.000
0.500 0.500 0.500
0.000 0.000 0.500
```